Entry 1:
First-principles (PBE) data for Er3Ni2Ag after structural relaxation, as listed in Alexandria.

## Properties
formation energy: -0.393 eV per atom

Cell: 3.416 3.416 10.432 Å, 90.00 90.00 90.00°
Space group P4/mmm (No. 123)
Unique sites:
Er  0.000  0.000  0.000 [1 per cell]
Er  0.000  0.000  0.312 [2 per cell]
Ni  0.500  0.500  0.159 [2 per cell]
Ag  0.500  0.500  0.500 [1 per cell]

***

Entry 2:
First-principles (PBE) data for MgTi2 after structural relaxation, as listed in Alexandria.

## Properties
formation energy: 0.103 eV per atom

Cell: 2.9766 2.9766 14.7198 Å, 90.00 90.00 120.00°
Space group P6_3/mmc (No. 194)
Unique sites:
Mg  0.3333  0.6667  0.2500 [2 per cell]
Ti  0.3333  0.6667  0.5739 [4 per cell]

***

Entry 3:
First-principles (PBE) data for Pm3SbRh3 after structural relaxation, as listed in Alexandria.

## Properties
formation energy (no corrections): -0.79 eV per atom

Cell: 4.457 10.499 13.532 Å, 90.00 90.00 90.00°
Space group Cmcm (No. 63)
Unique sites:
Pm  0.000  0.013  0.250 [4 per cell]
Pm  0.000  0.293  0.105 [8 per cell]
Sb  0.000  0.000  0.000 [4 per cell]
Rh  0.000  0.258  0.750 [4 per cell]
Rh  0.000  0.415  0.594 [8 per cell]

***

Entry 4:
First-principles (PBE) data for BaTlInCl6 after structural relaxation, as listed in Alexandria.

## Properties
formation energy (no corrections): -1.55 eV per atom

Cell: 7.5455 7.5455 12.8264 Å, 90.00 90.00 120.00°
Space group P-31c (No. 163)
Unique sites:
Ba  0.3333  0.6667  0.2500 [2 per cell]
Tl  0.0000  0.0000  0.0000 [2 per cell]
In  0.3333  0.6667  0.7500 [2 per cell]
Cl  0.0536  0.3914  0.6344 [12 per cell]

***

Entry 5:
First-principles (PBE) data for Pr2PtAu after structural relaxation, as listed in Alexandria.

## Properties
formation energy: -0.880 eV per atom

Cell: 3.682 3.682 7.416 Å, 90.00 90.00 90.00°
Space group P4/mmm (No. 123)
Unique sites:
Pr  0.000  0.000  0.240 [2 per cell]
Pt  0.500  0.500  0.000 [1 per cell]
Au  0.500  0.500  0.500 [1 per cell]

***

Entry 6:
First-principles (PBE) data for Cs2NaBi2 after structural relaxation, as listed in Alexandria.

## Properties
polymorph energy (0 for the lowest one): 272.5 meV per atom
formation energy: -0.033 eV per atom

Cell: 11.576 11.576 3.571 Å, 90.00 90.00 90.00°
Space group P4/mbm (No. 127)
Unique sites:
Cs  0.118  0.382  0.000 [4 per cell]
Na  0.000  0.000  0.000 [2 per cell]
Bi  0.180  0.680  0.500 [4 per cell]

***

Entry 7:
First-principles (PBE) data for PrMnSb3 after structural relaxation, as listed in Alexandria.

## Properties
formation energy (no corrections): -0.51 eV per atom

Cell: 13.184 6.278 6.097 Å, 90.00 90.00 90.00°
Space group Pbcm (No. 57)
Unique sites:
Pr  0.191  0.003  0.250 [4 per cell]
Mn  0.409  0.750  0.000 [4 per cell]
Sb  0.002  0.750  0.000 [4 per cell]
Sb  0.281  0.503  0.250 [4 per cell]
Sb  0.437  0.102  0.250 [4 per cell]

***

Entry 8:
First-principles (PBE) data for OsAu2F4 after structural relaxation, as listed in Alexandria.

## Properties
formation energy (no corrections): -0.83 eV per atom

Cell: 3.953 3.953 19.310 Å, 90.00 90.00 90.00°
Space group I4/mmm (No. 139)
Unique sites:
Os  0.000  0.000  0.000 [2 per cell]
Au  0.000  0.000  0.252 [4 per cell]
F  0.000  0.000  0.099 [4 per cell]
F  0.000  0.500  0.000 [4 per cell]

***

no.,final energy (eV per formula unit)
1,-30.46
2,-17.08
3,-45.98
4,-32.10
5,-22.40
6,-10.95
7,-28.89
8,-31.05